[1]
Compound: LiMn2In
Source: Alexandria via LeMat-Bulk
Functional: SCAN
Structure: PBEsol geometry Values from VASP.

Output
Electronic total energy = -18.051 eV/atom
N(E_F) = 0.68 states/eV/atom
ΔH_f (0 K) = 0.020 eV per atom

Quantum ESPRESSO input file:
```
&SYSTEM
  ibrav = 0, nat = 4, ntyp = 3
/
ATOMIC_SPECIES
Li 6.94 Li.upf
Mn 54.94 Mn.upf
In 114.82 In.upf
ATOMIC_POSITIONS crystal
Li 0.0000 0.0000 0.0000
Mn 0.1734 0.5000 0.7733
Mn 0.8266 0.5000 0.2267
In 0.5000 0.0000 0.5000
CELL_PARAMETERS angstrom
2.7407 0.0000 0.0000
0.0000 4.3491 0.0000
-1.1768 0.0000 5.0321
```

---

[2]
Compound: Li2MnIn
Source: Alexandria via LeMat-Bulk
Functional: SCAN
Structure: PBEsol geometry Values from VASP.

Output
Electronic total energy = -14.258 eV/atom
N(E_F) = 0.54 states/eV/atom
ΔH_f (0 K) = -0.153 eV per atom

Quantum ESPRESSO input file:
```
&SYSTEM
  ibrav = 0, nat = 4, ntyp = 3
/
ATOMIC_SPECIES
Li 6.94 Li.upf
Mn 54.94 Mn.upf
In 114.82 In.upf
ATOMIC_POSITIONS crystal
Li 0.0000 0.0000 0.0000
Li 0.5000 0.5000 0.0025
Mn 0.5000 0.0000 0.5001
In 0.0000 0.5000 0.5024
CELL_PARAMETERS angstrom
3.2069 0.0000 0.0000
0.0000 4.4555 0.0000
0.0000 0.0000 4.6374
```

---

[3]
Compound: Li2MnIn
Source: Alexandria via LeMat-Bulk
Functional: SCAN
Structure: PBEsol geometry Values from VASP.

Output
Electronic total energy = -14.224 eV/atom
N(E_F) = 0.36 states/eV/atom
ΔH_f (0 K) = -0.119 eV per atom

Quantum ESPRESSO input file:
```
&SYSTEM
  ibrav = 0, nat = 4, ntyp = 3
/
ATOMIC_SPECIES
Li 6.94 Li.upf
Mn 54.94 Mn.upf
In 114.82 In.upf
ATOMIC_POSITIONS crystal
Li 0.2492 0.0000 0.2419
Li 0.7508 0.0000 0.7581
Mn 0.5000 0.5000 0.0000
In 0.0000 0.5000 0.5000
CELL_PARAMETERS angstrom
2.8757 0.0000 0.0000
0.0000 4.7643 0.0000
-0.4401 0.0000 4.9128
```